1.
DFT (PBE) results for a relaxed LiEuAlPb crystal.

Properties
**Density of states at the Fermi level**: 0.282 states/eV per atom
**Volume**: 100.1 Å³/cell
**Calculated formation energy**: -0.238 eV per atom
**Crystal system**: cubic

abc: 5.212 5.212 5.212
angles: 60.00 60.00 60.00
Element x y z (fractional)
Li: 0.000 0.000 0.000
Eu: 0.500 0.500 0.500
Al: 0.750 0.750 0.750
Pb: 0.250 0.250 0.250

***

2.
DFT (PBE) results for a relaxed LiPmEuAl crystal.

Properties
**Density of states at the Fermi level**: 2.144 states/eV per atom
**Volume**: 108.6 Å³/cell
**Calculated formation energy**: -0.125 eV per atom
**Crystal system**: cubic

abc: 5.356 5.356 5.356
angles: 60.00 60.00 60.00
Element x y z (fractional)
Li: 0.000 0.000 0.000
Pm: 0.250 0.250 0.250
Eu: 0.750 0.750 0.750
Al: 0.500 0.500 0.500

***

3.
DFT (PBE) results for a relaxed LiPrEuAl crystal.

Properties
**Density of states at the Fermi level**: 2.177 states/eV per atom
**Volume**: 111.1 Å³/cell
**Calculated formation energy**: -0.127 eV per atom
**Crystal system**: cubic

abc: 5.397 5.397 5.397
angles: 60.00 60.00 60.00
Element x y z (fractional)
Li: 0.000 0.000 0.000
Pr: 0.750 0.750 0.750
Eu: 0.250 0.250 0.250
Al: 0.500 0.500 0.500

***

4.
DFT (PBE) results for a relaxed LiEuAlSn crystal.

Properties
**Density of states at the Fermi level**: 0.298 states/eV per atom
**Volume**: 95.4 Å³/cell
**Calculated formation energy**: -0.302 eV per atom
**Crystal system**: cubic

abc: 5.128 5.128 5.128
angles: 60.00 60.00 60.00
Element x y z (fractional)
Li: 0.000 0.000 0.000
Eu: 0.500 0.500 0.500
Al: 0.750 0.750 0.750
Sn: 0.250 0.250 0.250

***

5.
DFT (PBE) results for a relaxed LiTbEuAl crystal.

Properties
**Density of states at the Fermi level**: 1.863 states/eV per atom
**Volume**: 105.3 Å³/cell
**Calculated formation energy**: -0.119 eV per atom
**Crystal system**: cubic

abc: 5.301 5.301 5.301
angles: 60.00 60.00 60.00
Element x y z (fractional)
Li: 0.000 0.000 0.000
Tb: 0.250 0.250 0.250
Eu: 0.750 0.750 0.750
Al: 0.500 0.500 0.500

***

6.
DFT (PBE) results for a relaxed LiEuThAl crystal.

Properties
**Density of states at the Fermi level**: 2.004 states/eV per atom
**Volume**: 105.8 Å³/cell
**Calculated formation energy**: -0.011 eV per atom
**Crystal system**: cubic

abc: 5.308 5.308 5.308
angles: 60.00 60.00 60.00
Element x y z (fractional)
Li: 0.000 0.000 0.000
Eu: 0.750 0.750 0.750
Th: 0.250 0.250 0.250
Al: 0.500 0.500 0.500

***

7.
DFT (PBE) results for a relaxed LiEuAlTl crystal.

Properties
**Density of states at the Fermi level**: 1.736 states/eV per atom
**Volume**: 96.9 Å³/cell
**Calculated formation energy**: -0.196 eV per atom
**Crystal system**: cubic

abc: 5.156 5.156 5.156
angles: 60.00 60.00 60.00
Element x y z (fractional)
Li: 0.000 0.000 0.000
Eu: 0.500 0.500 0.500
Al: 0.750 0.750 0.750
Tl: 0.250 0.250 0.250

***

8.
DFT (PBE) results for a relaxed LiEuAlZn crystal.

Properties
**Density of states at the Fermi level**: 2.074 states/eV per atom
**Volume**: 79.6 Å³/cell
**Calculated formation energy**: -0.229 eV per atom
**Crystal system**: cubic

abc: 4.829 4.829 4.829
angles: 60.00 60.00 60.00
Element x y z (fractional)
Li: 0.000 0.000 0.000
Eu: 0.250 0.250 0.250
Al: 0.750 0.750 0.750
Zn: 0.500 0.500 0.500

***

9.
DFT (PBE) results for a relaxed EuLu2Al crystal.

Properties
**Density of states at the Fermi level**: 0.446 states/eV per atom
**Volume**: 112.9 Å³/cell
**Calculated formation energy**: -0.152 eV per atom
**Crystal system**: tetragonal
**Energy relative to the lowest polymorph listed for this composition**: 0 meV/atom

abc: 3.502 3.502 9.207
angles: 90.00 90.00 90.00
Element x y z (fractional)
Eu: 0.000 0.000 0.000
Lu: 0.500 0.500 0.303
Lu: 0.500 0.500 0.697
Al: 0.000 0.000 0.500

***

10.
DFT (PBE) results for a relaxed EuLu2Al crystal.

Properties
**Density of states at the Fermi level**: 0.856 states/eV per atom
**Volume**: 108.0 Å³/cell
**Calculated formation energy**: -0.091 eV per atom
**Crystal system**: tetragonal
**Energy relative to the lowest polymorph listed for this composition**: 61 meV/atom

abc: 4.803 4.803 4.684
angles: 90.00 90.00 90.00
Element x y z (fractional)
Eu: 0.000 0.000 0.000
Lu: 0.000 0.500 0.500
Lu: 0.500 0.000 0.500
Al: 0.500 0.500 0.000

***

11.
DFT (PBE) results for a relaxed EuLuAl crystal.

Properties
**Density of states at the Fermi level**: 0.793 states/eV per atom
**Volume**: 81.5 Å³/cell
**Calculated formation energy**: -0.053 eV per atom
**Crystal system**: trigonal
**Energy relative to the lowest polymorph listed for this composition**: 102 meV/atom

abc: 5.197 5.197 3.486
angles: 90.00 90.00 120.00
Element x y z (fractional)
Eu: 0.000 0.000 0.000
Lu: 0.333 0.667 0.573
Al: 0.667 0.333 0.367

***

12.
DFT (PBE) results for a relaxed EuLu2Al crystal.

Properties
**Density of states at the Fermi level**: 1.007 states/eV per atom
**Volume**: 106.7 Å³/cell
**Calculated formation energy**: 0.008 eV per atom
**Crystal system**: cubic
**Energy relative to the lowest polymorph listed for this composition**: 160 meV/atom

abc: 5.323 5.323 5.323
angles: 60.00 60.00 60.00
Element x y z (fractional)
Eu: 0.000 0.000 0.000
Lu: 0.250 0.250 0.250
Lu: 0.750 0.750 0.750
Al: 0.500 0.500 0.500

***

Question: What is the density of states at the Fermi level in the ninth record?
Answer: 0.446 states/eV per atom